The following is a DFT calculation (PBE-GGA) of a relaxed Zr5PaN5 crystal.

Cell lengths 5.760, 5.760, 6.601 Å; angles 106.85, 106.85, 48.19 degrees
Positions (direct):
1 Zr 0.000 0.000 0.000
2 Zr 0.323 0.323 0.164
3 Zr 0.328 0.328 0.661
4 Zr 0.672 0.672 0.339
5 Zr 0.677 0.677 0.836
6 Pa 0.000 0.000 0.500
7 N 0.166 0.166 0.835
8 N 0.167 0.167 0.330
9 N 0.500 0.500 0.500
10 N 0.833 0.833 0.670
11 N 0.834 0.834 0.165

Space group: C2/m, No. 12
Volume, A^3/atom: 14.071
Magnetization, μB per formula unit: 0.0
Energy relative to the elements, uncorrected, meV per atom: -1569